Material: NbPd
Method: DFT, GGA-PBE
State: optimized geometry

## Properties
M_tot = 0.00 μB/atom
energy of formation from the pure elements = 0.048 eV per atom
calculated volume = 18.06 Å³/atom
final energy = -7.583 eV/atom
N(E_F) = 0.724 states/eV per atom

Lattice parameters (Å, degrees): 9.522 9.522 2.761 90.00 90.00 120.00
Sites, in units of the cell vectors:
Nb 0.625 0.143 0.250
Nb 0.482 0.625 0.750
Nb 0.857 0.482 0.250
Nb 0.375 0.857 0.750
Nb 0.518 0.375 0.250
Nb 0.143 0.518 0.750
Pd 0.941 0.228 0.250
Pd 0.713 0.941 0.750
Pd 0.772 0.713 0.250
Pd 0.059 0.772 0.750
Pd 0.287 0.059 0.250
Pd 0.228 0.287 0.750